The following is a DFT calculation (PBE) of an optimized crystal structure of CaMnHg2Ir.

```
CaMnHg2Ir
1.0
5.426 0.000 0.000
0.000 5.426 0.000
0.000 0.000 5.004
Ca Mn Hg Ir
1 1 2 1
Direct
0.000 0.000 0.000
0.500 0.500 0.500
0.000 0.500 0.000
0.500 0.000 0.000
0.000 0.000 0.500
```

Values from the calculation:
Crystal system   tetragonal
M_tot   0.1 μB/cell
Energy of formation from the pure elements   1811 meV/atom
Electronic total energy   -2.32 eV/atom
Space group   P4/mmm